1.
Computed, not measured: a geometry-optimized YBiN3 structure at the PBE level of DFT.

Crystal system: cubic
Calculated volume: 15.1 A^3/atom
Total energy: -6.2622 eV per atom
Energy relative to the elements, uncorrected: 18.5 kcal/mol of atoms

CIF file:
```
data_YBiN3
_chemical_formula_sum 'Y1 Bi1 N3'
_cell_length_a 4.223
_cell_length_b 4.223
_cell_length_c 4.223
_cell_angle_alpha 90.00
_cell_angle_beta 90.00
_cell_angle_gamma 90.00
_space_group_name_H-M_alt 'P m -3 m'
_space_group_IT_number 221
_space_group_name_Hall '-P 4 2 3'
loop_
_atom_site_label
_atom_site_type_symbol
_atom_site_fract_x
_atom_site_fract_y
_atom_site_fract_z
Y1 Y 0.000 0.000 0.000
Bi1 Bi 0.500 0.500 0.500
N1 N 0.000 0.500 0.500
```



2.
Computed, not measured: a geometry-optimized Y4Bi3N structure at the PBE level of DFT.

Crystal system: orthorhombic
Calculated volume: 33.3 A^3/atom
Total energy: -6.5324 eV per atom
Energy relative to the elements, uncorrected: -18.5 kcal/mol of atoms

CIF file:
```
data_Y4Bi3N
_chemical_formula_sum 'Y8 Bi6 N2'
_cell_length_a 9.739
_cell_length_b 8.689
_cell_length_c 6.303
_cell_angle_alpha 90.00
_cell_angle_beta 90.00
_cell_angle_gamma 90.00
_space_group_name_H-M_alt 'P m n 21'
_space_group_IT_number 31
_space_group_name_Hall 'P 2ac -2'
loop_
_atom_site_label
_atom_site_type_symbol
_atom_site_fract_x
_atom_site_fract_y
_atom_site_fract_z
Y1 Y 0.000 0.085 0.000
Y2 Y 0.000 0.819 0.569
Y3 Y 0.203 0.698 0.003
Bi1 Bi 0.000 0.159 0.490
Bi2 Bi 0.230 0.339 0.992
N1 N 0.000 0.822 0.928
```



3.
Computed, not measured: a geometry-optimized Y5Bi2N structure at the PBE level of DFT.

Crystal system: orthorhombic
Calculated volume: 32.0 A^3/atom
Total energy: -6.4907 eV per atom
Energy relative to the elements, uncorrected: -10.1 kcal/mol of atoms

CIF file:
```
data_Y5Bi2N
_chemical_formula_sum 'Y20 Bi8 N4'
_cell_length_a 4.552
_cell_length_b 16.352
_cell_length_c 13.773
_cell_angle_alpha 90.00
_cell_angle_beta 90.00
_cell_angle_gamma 90.00
_space_group_name_H-M_alt 'C m c m'
_space_group_IT_number 63
_space_group_name_Hall '-C 2c 2'
loop_
_atom_site_label
_atom_site_type_symbol
_atom_site_fract_x
_atom_site_fract_y
_atom_site_fract_z
Y1 Y 0.000 0.103 0.120
Y2 Y 0.000 0.263 0.750
Y3 Y 0.000 0.303 0.062
Bi1 Bi 0.000 0.086 0.625
N1 N 0.000 0.188 0.250
```